VASP calculation (PBE-GGA) on a geometry-optimized Rb2ZnHg structure.

Structure (POSCAR):
```
Rb2ZnHg
1.0
4.424 0.000 0.000
0.000 4.424 0.000
0.000 0.000 8.863
Rb Zn Hg
2 1 1
direct
0.000 0.000 0.247
0.000 0.000 0.753
0.500 0.500 0.000
0.500 0.500 0.500
```

Values from the calculation:
Energy of formation from the pure elements = 0.030 eV per atom
E above lowest polymorph = 0.00 eV per formula unit
Magnetization = 0.00 μB per formula unit
Calculated volume = 43.36 Å³/atom

VASP calculation (PBE-GGA) on a geometry-optimized Cs3Tl2Pd structure.

Structure (POSCAR):
```
Cs3Tl2Pd
1.0
8.951 0.000 0.000
0.000 8.736 0.656
0.000 2.250 8.467
Tl Cs Pd
4 6 2
direct
0.500 0.618 0.618
0.000 0.618 0.618
0.000 0.382 0.382
0.500 0.382 0.382
0.250 0.375 0.987
0.750 0.625 0.013
0.250 0.013 0.625
0.750 0.205 0.795
0.750 0.987 0.375
0.250 0.795 0.205
0.250 0.464 0.536
0.750 0.536 0.464
```

Values from the calculation:
Energy of formation from the pure elements = -0.081 eV per atom
Magnetization = 0.00 μB per formula unit
Calculated volume = 54.07 Å³/atom

VASP calculation (PBE-GGA) on a geometry-optimized Ba8CdSb3I4 structure.

Structure (POSCAR):
```
Ba8CdSb3I4
1.0
10.195 0.000 0.000
0.000 10.249 0.031
-5.097 -5.093 7.209
Sb Ba I Cd
3 8 4 1
direct
0.500 0.500 0.500
0.000 0.500 0.500
0.500 0.500 0.000
0.758 0.281 0.516
0.739 0.717 0.478
0.242 0.719 0.977
0.261 0.283 0.522
0.265 0.281 0.023
0.758 0.281 0.023
0.735 0.719 0.977
0.242 0.719 0.484
0.000 0.000 0.000
0.500 0.000 0.500
0.500 0.000 0.000
0.000 0.000 0.500
0.000 0.500 0.000
```

Values from the calculation:
Magnetization = 3.05 μB per formula unit
Calculated volume = 47.18 Å³/atom
Energy relative to the elements, uncorrected = -1879 kJ/mol of formula units

VASP calculation (PBE-GGA) on a geometry-optimized HoErOsPd structure.

Structure (POSCAR):
```
HoErOsPd
1.0
-0.339 -2.407 2.403
3.281 0.405 0.870
-1.816 4.844 4.595
Ho Er Pd Os
1 1 1 1
direct
0.500 0.500 0.595
0.500 0.500 0.118
0.000 0.000 0.859
0.000 0.000 0.356
```

Values from the calculation:
Energy of formation from the pure elements = -0.610 eV per atom
E above lowest polymorph = 0.00 eV per formula unit
Magnetization = 0.00 μB per formula unit
Calculated volume = 20.22 Å³/atom

VASP calculation (PBE-GGA) on a geometry-optimized Th2GaP3Rh12 structure.

Structure (POSCAR):
```
Th2GaP3Rh12
1.0
-2.656 1.700 6.400
-1.100 -6.033 3.645
5.200 -0.677 4.837
Rh P Th Ga
12 3 2 1
direct
0.144 0.632 0.144
0.096 0.662 0.662
0.338 0.904 0.338
0.662 0.096 0.662
0.856 0.368 0.856
0.662 0.662 0.096
0.904 0.338 0.338
0.632 0.144 0.144
0.338 0.338 0.904
0.368 0.856 0.856
0.856 0.856 0.368
0.144 0.144 0.632
0.500 0.000 0.000
0.000 0.500 0.000
0.000 0.000 0.500
0.390 0.390 0.390
0.610 0.610 0.610
0.000 0.000 0.000
```

Values from the calculation:
Energy of formation from the pure elements = -0.404 eV per atom
Magnetization = 0.00 μB per formula unit
Calculated volume = 17.65 Å³/atom

VASP calculation (PBE-GGA) on a geometry-optimized MgTc structure.

Structure (POSCAR):
```
MgTc
1.0
-0.038 0.925 -4.781
-8.211 -11.855 -2.228
-6.618 4.413 0.906
Mg Tc
16 16
direct
0.500 0.000 0.166
0.750 0.750 0.416
0.250 0.250 0.084
0.500 0.000 0.834
0.750 0.750 0.084
0.250 0.750 0.584
0.750 0.250 0.584
0.000 0.000 0.334
0.500 0.500 0.334
0.250 0.750 0.916
0.250 0.250 0.416
0.000 0.500 0.166
0.500 0.500 0.666
0.000 0.500 0.834
0.000 0.000 0.666
0.750 0.250 0.916
0.500 0.418 0.000
0.750 0.332 0.250
0.500 0.582 0.000
0.750 0.832 0.750
0.000 0.082 0.000
0.000 0.582 0.500
0.750 0.168 0.250
0.250 0.332 0.750
0.250 0.832 0.250
0.000 0.918 0.000
0.500 0.082 0.500
0.250 0.668 0.250
0.250 0.168 0.750
0.750 0.668 0.750
0.500 0.918 0.500
0.000 0.418 0.500
```

Values from the calculation:
Energy of formation from the pure elements = 0.384 eV per atom
E above lowest polymorph = 0.82 eV per formula unit
Magnetization = 0.00 μB per formula unit
Calculated volume = 17.78 Å³/atom